1.
YMgIn2, relaxed, DFT GGA-PBE; density of states at the Fermi level = 0.708 states/eV/atom; final energy = -3.49 eV/atom; energy relative to the elements = -0.1036 eV per atom; magnetic moment = 0.0 μB per cell; volume = 216.44 Å³ per cell; symmetry = No. 122
1.0
-0.081 7.925 -1.937
-3.461 -1.787 -7.169
-4.715 3.368 -3.206
Y In Mg
2 4 2
direct
0.750 0.250 0.500
0.000 0.000 0.000
0.153 0.625 0.250
0.875 0.847 0.750
0.597 0.125 0.250
0.375 0.403 0.750
0.500 0.500 0.000
0.250 0.750 0.500

---

2.
YMgIn, relaxed, DFT GGA-PBE; density of states at the Fermi level = 0.000 states/eV/atom; final energy = -3.79 eV/atom; energy relative to the elements = -0.1919 eV per atom; magnetic moment = 0.0 μB per cell; volume = 87.66 Å³ per cell; symmetry = No. 216
1.0
-3.530 1.498 3.187
-3.614 3.068 -1.545
-4.668 -1.687 -0.477
Mg In Y
1 1 1
direct
0.750 0.750 0.750
0.000 0.000 0.000
0.250 0.250 0.250

---

3.
YMgIn, relaxed, DFT GGA-PBE; density of states at the Fermi level = 1.182 states/eV/atom; final energy = -3.74 eV/atom; energy relative to the elements = -0.1443 eV per atom; magnetic moment = 0.0 μB per cell; volume = 160.02 Å³ per cell; symmetry = No. 129
1.0
-1.818 -2.697 -3.149
0.463 -3.549 2.772
-7.106 1.364 2.934
Mg Y In
2 2 2
direct
0.000 0.500 0.755
0.500 0.000 0.245
0.000 0.500 0.171
0.500 0.000 0.829
0.500 0.500 0.500
0.000 0.000 0.500

---

4.
Y2Mg2In, relaxed, DFT GGA-PBE; density of states at the Fermi level = 1.378 states/eV/atom; final energy = -3.99 eV/atom; energy relative to the elements = -0.2208 eV per atom; magnetic moment = 0.0 μB per cell; volume = 134.24 Å³ per cell; symmetry = No. 166
1.0
0.504 3.633 3.660
-4.697 -1.220 -1.815
-2.990 -0.015 7.759
Y In Mg
2 1 2
direct
0.588 0.294 0.809
0.412 0.706 0.191
0.000 0.500 0.000
0.263 0.132 0.553
0.737 0.868 0.447

---

5.
Y2Mg2In, relaxed, DFT GGA-PBE; density of states at the Fermi level = 1.213 states/eV/atom; final energy = -3.93 eV/atom; energy relative to the elements = -0.1614 eV per atom; magnetic moment = 1.1 μB per cell; volume = 268.53 Å³ per cell; symmetry = No. 127
1.0
7.441 0.000 0.000
0.000 7.441 0.000
0.000 0.000 4.850
In Y Mg
2 4 4
direct
0.500 0.500 0.000
0.000 0.000 0.000
0.830 0.330 0.500
0.330 0.170 0.500
0.670 0.830 0.500
0.170 0.670 0.500
0.633 0.133 0.000
0.133 0.367 0.000
0.367 0.867 0.000
0.867 0.633 0.000

---

6.
Y6Mg5In, relaxed, DFT GGA-PBE; density of states at the Fermi level = 1.202 states/eV/atom; final energy = -4.32 eV/atom; energy relative to the elements = -0.1946 eV per atom; magnetic moment = 0.0 μB per cell; volume = 327.35 Å³ per cell; symmetry = No. 65
1.0
5.085 -0.030 1.695
0.041 7.579 0.014
-0.005 -0.015 8.493
Y Mg In
6 5 1
direct
0.166 0.750 0.667
0.834 0.250 0.333
0.500 0.250 0.000
0.500 0.750 0.000
0.834 0.750 0.333
0.166 0.250 0.667
0.330 0.000 0.339
0.670 0.000 0.661
0.000 0.500 0.000
0.333 0.500 0.335
0.667 0.500 0.665
0.000 0.000 0.000

---

7.
Y2MgIn9, relaxed, DFT GGA-PBE; density of states at the Fermi level = 0.291 states/eV/atom; final energy = -3.55 eV/atom; energy relative to the elements = -0.2825 eV per atom; magnetic moment = 0.0 μB per cell; volume = 300.13 Å³ per cell; symmetry = No. 123
1.0
-2.792 0.597 -3.672
-2.967 -3.127 1.747
-6.694 10.113 6.735
In Y Mg
9 2 1
direct
0.500 0.500 0.667
0.500 0.000 0.500
0.500 0.500 0.333
0.000 0.500 0.500
0.000 0.500 0.161
0.500 0.000 0.161
0.000 0.500 0.839
0.500 0.500 0.000
0.500 0.000 0.839
0.000 0.000 0.666
0.000 0.000 0.334
0.000 0.000 0.000

---

8.
Y4MgIn, relaxed, DFT GGA-PBE; density of states at the Fermi level = 1.571 states/eV/atom; final energy = -4.90 eV/atom; energy relative to the elements = 0.1335 eV per atom; E above lowest polymorph = 124 meV per atom; magnetic moment = 0.0 μB per cell; volume = 200.65 Å³ per cell; symmetry = No. 166
1.0
5.192 0.000 0.000
2.596 4.489 0.258
2.596 1.002 8.666
Mg Y In
1 4 1
direct
0.000 0.000 0.000
0.125 0.125 0.625
0.376 0.376 0.873
0.875 0.875 0.375
0.624 0.624 0.127
0.500 0.500 0.500

---

9.
Y2MgIn3, relaxed, DFT GGA-PBE; density of states at the Fermi level = 0.604 states/eV/atom; final energy = -4.21 eV/atom; energy relative to the elements = -0.4170 eV per atom; magnetic moment = 0.0 μB per cell; volume = 303.68 Å³ per cell; symmetry = No. 69
1.0
-6.096 -0.236 -0.327
1.848 -2.965 5.011
1.598 8.911 2.176
In Y Mg
6 4 2
direct
0.169 0.169 0.337
0.832 0.337 0.169
0.168 0.663 0.831
0.663 0.168 0.831
0.337 0.832 0.169
0.831 0.831 0.663
0.750 0.250 0.500
0.250 0.750 0.500
0.752 0.752 0.000
0.248 0.248 0.000
0.333 0.333 0.665
0.667 0.667 0.335

---

10.
Y2Mg2In, relaxed, DFT GGA-PBE; density of states at the Fermi level = 0.920 states/eV/atom; final energy = -3.71 eV/atom; energy relative to the elements = 0.0602 eV per atom; magnetic moment = 1.3 μB per cell; volume = 287.08 Å³ per cell; symmetry = No. 127
1.0
-2.938 -3.974 -6.966
7.709 0.646 -3.620
1.019 -3.471 1.550
Y Mg In
4 4 2
direct
0.351 0.851 0.000
0.851 0.649 0.000
0.149 0.351 0.000
0.649 0.149 0.000
0.851 0.351 0.500
0.351 0.149 0.500
0.649 0.851 0.500
0.149 0.649 0.500
0.500 0.500 0.000
0.000 0.000 0.000

---

11.
YMgIn2, relaxed, DFT GGA-PBE; density of states at the Fermi level = 0.622 states/eV/atom; final energy = -3.67 eV/atom; energy relative to the elements = -0.2897 eV per atom; magnetic moment = 0.0 μB per cell; volume = 101.15 Å³ per cell; symmetry = No. 44
1.0
-0.891 -2.838 -5.069
0.013 -5.855 0.511
-2.720 4.387 2.812
Y Mg In
1 1 2
direct
0.250 0.750 0.500
0.500 0.500 0.000
0.000 0.000 0.000
0.750 0.250 0.500

---

12.
YMgIn, relaxed, DFT GGA-PBE; density of states at the Fermi level = 0.960 states/eV/atom; final energy = -3.72 eV/atom; energy relative to the elements = -0.1256 eV per atom; magnetic moment = 0.0 μB per cell; volume = 164.46 Å³ per cell; symmetry = No. 119
1.0
4.323 0.000 0.000
0.000 4.323 0.000
-2.162 -2.162 8.800
Mg In Y
2 2 2
direct
0.672 0.172 0.343
0.828 0.328 0.657
0.079 0.079 0.158
0.921 0.921 0.842
0.250 0.750 0.500
0.500 0.500 0.000

---

13.
YMgIn2, relaxed, DFT GGA-PBE; density of states at the Fermi level = 0.718 states/eV/atom; final energy = -3.68 eV/atom; energy relative to the elements = -0.2983 eV per atom; magnetic moment = 0.0 μB per cell; volume = 99.20 Å³ per cell; symmetry = No. 123
1.0
3.676 0.000 0.000
0.000 3.680 0.000
0.000 0.000 7.333
In Mg Y
2 1 1
direct
0.000 0.000 0.023
0.000 0.000 0.477
0.500 0.500 0.250
0.500 0.500 0.750

---

14.
YMgIn, relaxed, DFT GGA-PBE; density of states at the Fermi level = 0.915 states/eV/atom; final energy = -3.90 eV/atom; energy relative to the elements = -0.2981 eV per atom; magnetic moment = 0.0 μB per cell; volume = 150.93 Å³ per cell; symmetry = No. 74
1.0
-5.264 1.612 -2.292
-1.894 -2.547 -4.918
-4.471 -3.937 0.276
Y Mg In
2 2 2
direct
0.106 0.285 0.043
0.859 0.032 0.796
0.482 0.658 0.420
0.482 0.158 0.420
0.982 0.659 0.420
0.482 0.658 0.920

---

15.
YMg5In6, relaxed, DFT GGA-PBE; density of states at the Fermi level = 0.501 states/eV/atom; final energy = -2.74 eV/atom; energy relative to the elements = -0.1718 eV per atom; magnetic moment = 0.0 μB per cell; volume = 285.72 Å³ per cell; symmetry = No. 12
1.0
-1.182 3.605 -2.649
-6.897 -1.692 4.895
6.469 2.763 4.991
Mg In Y
5 6 1
direct
0.000 0.332 0.668
0.000 0.668 0.332
0.500 0.172 0.828
0.500 0.500 0.500
0.500 0.828 0.172
0.749 0.920 0.581
0.251 0.080 0.419
0.242 0.746 0.746
0.251 0.419 0.080
0.749 0.581 0.920
0.758 0.254 0.254
0.000 0.000 0.000

---

16.
Y2Mg3In4, relaxed, DFT GGA-PBE; density of states at the Fermi level = 0.720 states/eV/atom; final energy = -3.46 eV/atom; energy relative to the elements = -0.2708 eV per atom; magnetic moment = 0.0 μB per cell; volume = 448.09 Å³ per cell; symmetry = No. 64
1.0
6.334 0.000 0.000
0.000 8.324 0.000
-3.167 0.000 8.499
Y Mg In
4 6 8
direct
0.399 0.101 0.799
0.601 0.899 0.201
0.101 0.601 0.201
0.899 0.399 0.799
0.015 0.750 0.531
0.515 0.750 0.531
0.500 0.500 0.000
0.000 0.000 0.000
0.985 0.250 0.469
0.485 0.250 0.469
0.312 0.250 0.123
0.830 0.025 0.659
0.188 0.750 0.877
0.330 0.475 0.659
0.812 0.250 0.123
0.670 0.525 0.341
0.170 0.975 0.341
0.688 0.750 0.877

---

17.
YMgIn2, relaxed, DFT GGA-PBE; density of states at the Fermi level = 0.585 states/eV/atom; final energy = -3.69 eV/atom; energy relative to the elements = -0.3042 eV per atom; magnetic moment = 0.0 μB per cell; volume = 98.96 Å³ per cell; symmetry = No. 139
1.0
-1.740 -4.911 -2.143
2.941 -4.155 2.415
-2.871 4.303 2.232
Mg In Y
1 2 1
direct
0.750 0.250 0.500
0.500 0.500 0.000
0.000 0.000 0.000
0.250 0.750 0.500

---

18.
YMgIn, relaxed, DFT GGA-PBE; density of states at the Fermi level = 0.315 states/eV/atom; final energy = -3.90 eV/atom; energy relative to the elements = -0.3058 eV per atom; magnetic moment = 0.0 μB per cell; volume = 151.85 Å³ per cell; symmetry = No. 8
1.0
5.176 0.012 -0.015
2.580 4.480 0.006
-2.577 4.434 6.577
In Mg Y
2 2 2
direct
0.192 0.497 0.248
0.150 0.206 0.872
0.167 0.856 0.555
0.676 0.014 0.731
0.655 0.368 0.044
0.673 0.684 0.395

---

19.
YMgIn, relaxed, DFT GGA-PBE; density of states at the Fermi level = 0.892 states/eV/atom; final energy = -3.69 eV/atom; energy relative to the elements = -0.0860 eV per atom; magnetic moment = 0.0 μB per cell; volume = 81.51 Å³ per cell; symmetry = No. 156
1.0
3.457 0.000 0.000
-1.729 2.994 0.000
0.000 0.000 7.875
In Y Mg
1 1 1
direct
0.000 0.000 0.009
0.333 0.667 0.672
0.667 0.333 0.319

---

20.
Y6MgIn, relaxed, DFT GGA-PBE; density of states at the Fermi level = 0.927 states/eV/atom; final energy = -5.47 eV/atom; energy relative to the elements = -0.0833 eV per atom; E above lowest polymorph = 47 meV per atom; magnetic moment = 0.0 μB per cell; volume = 238.83 Å³ per cell; symmetry = No. 148
1.0
-4.654 -6.120 4.367
3.994 -5.185 5.946
-0.936 -1.417 5.967
Mg Y In
1 6 1
direct
0.000 0.000 0.000
0.746 0.976 0.794
0.485 0.746 0.794
0.975 0.485 0.794
0.025 0.515 0.206
0.515 0.254 0.206
0.254 0.024 0.206
0.500 0.500 0.500